1.
The following is a DFT calculation (PBE-GGA) of a geometry-optimized LaCuSn2Pd structure.

Unit cell a=4.5830 b=4.5830 c=10.9192 alpha=90.00 beta=90.00 gamma=90.00
Space group I-4m2 (No. 119)
Asymmetric unit:
La  0.0000  0.0000  0.0000 (multiplicity 2)
Cu  0.0000  0.5000  0.7500 (multiplicity 2)
Sn  0.0000  0.0000  0.3703 (multiplicity 4)
Pd  0.0000  0.5000  0.2500 (multiplicity 2)

For the density of states at the Fermi level, the calculation gives 5.54 states/eV per cell.


2.
The following is a DFT calculation (PBE-GGA) of a geometry-optimized LaCuSnPd3 structure.

Unit cell a=5.7554 b=12.2009 c=6.9926 alpha=90.00 beta=90.00 gamma=90.00
Space group Cmcm (No. 63)
Asymmetric unit:
La  0.0000  0.1786  0.2500 (multiplicity 4)
Cu  0.0000  0.4120  0.2500 (multiplicity 4)
Sn  0.0000  0.1289  0.7500 (multiplicity 4)
Pd  0.0000  0.3489  0.7500 (multiplicity 4)
Pd  0.2480  0.0000  0.0000 (multiplicity 8)

For the density of states at the Fermi level, the calculation gives 8.88 states/eV per cell.


Going through the records in order, we get DFT formation energy values of -0.607, -0.523 eV/atom.
Going through the records in order, we get energy values of -5.051, -5.291 eV/atom.
Going through the records in order, we get calculated volume values of 22.9, 20.5 Å³ per atom.